# DyNpVO6

A relaxed structure of DyNpVO6 (GGA+U, Alexandria).

Results
Space-group type: P-31c, No. 163
E_tot (Ry per atom): -0.642
Size of the total moment (μB/f.u.): 3.00

Cell lengths 5.5868, 5.5868, 8.7726 Å; angles 90.00, 90.00, 120.00 degrees
Site moments in Bohr magnetons follow the coordinates.
Sites, in units of the cell vectors:
1 Dy 0.3333 0.6667 0.2500  0.02
2 Dy 0.6667 0.3333 0.7500  0.02
3 Np 0.6667 0.3333 0.2500  1.33
4 Np 0.3333 0.6667 0.7500  1.33
5 V 0.0000 0.0000 0.0000  1.88
6 V 0.0000 0.0000 0.5000  1.88
7 O 0.6894 0.6620 0.1252  -0.05
8 O 0.9726 0.3106 0.1252  -0.05
9 O 0.3106 0.9726 0.6252  -0.05
10 O 0.0274 0.6894 0.8748  -0.05
11 O 0.3380 0.3106 0.3748  -0.05
12 O 0.9726 0.6620 0.3748  -0.05
13 O 0.6620 0.9726 0.8748  -0.05
14 O 0.6894 0.0274 0.3748  -0.05
15 O 0.0274 0.3380 0.6252  -0.05
16 O 0.3380 0.0274 0.1252  -0.05
17 O 0.6620 0.6894 0.6252  -0.05
18 O 0.3106 0.3380 0.8748  -0.05